A plane-wave DFT calculation with GGA+U was carried out for a relaxed Na2ZrCrO4 crystal.

Cell and atoms, written as POSCAR:
```
Na2ZrCrO4
1.0
5.8723 0.0000 0.0000
0.0000 3.1702 0.0000
-2.4031 0.0000 5.4764
Na Zr Cr O
2 1 1 4
Cartesian
0.0000 0.0000 0.0000 Na
2.9362 1.5851 0.0000 Na
-1.2016 1.5851 2.7382 Zr
1.7346 0.0000 2.7382 Cr
-0.5538 0.0000 4.0149 O
0.7249 1.5851 1.7585 O
2.7443 1.5851 3.7180 O
4.0230 0.0000 1.4615 O
```

Output
Total magnetization (Bohr magnetons per cell): 4.00
Raw total energy (eV/cell): -56.6
Space-group type: P2/m (10)